# 1
DFT (GGA-PBE) results for crystalline YTePb2 at its relaxed geometry.

It has space group Cm (No. 8), with a = 11.800 Å, b = 3.884 Å, c = 5.400 Å, α = 90.00°, β = 90.10° and γ = 90.00°. Symmetry generates all atoms from Y at (0.000, 0.000, 0.000), Te at (0.290, 0.000, 0.000), Pb at (0.040, 0.500, 0.500) and Pb at (0.302, 0.500, 0.500).

The formation energy from raw total energies comes out at -42.3 kJ/mol of atoms. The total energy comes out at -4.69 eV per atom.

***

# 2
DFT (GGA-PBE) results for crystalline Sc2CrOs at its relaxed geometry.

It has space group Fm-3m (No. 225), with a = 6.526 Å, b = 6.526 Å, c = 6.526 Å, α = 90.00°, β = 90.00° and γ = 90.00°. Symmetry generates all atoms from Sc at (0.250, 0.250, 0.250), Cr at (0.000, 0.000, 0.000) and Os at (0.000, 0.000, 0.500).

Its formation energy is -0.14 eV/atom. The total energy comes out at -8.52 eV per atom. The energy above the most stable polymorph in this dataset comes out at 0.000 eV/atom.

***

# 3
DFT (GGA-PBE) results for crystalline Pr5Ir2Pt at its relaxed geometry.

It has space group I4/mcm (No. 140), with a = 7.829 Å, b = 7.829 Å, c = 14.018 Å, α = 90.00°, β = 90.00° and γ = 90.00°. Symmetry generates all atoms from Pr at (0.000, 0.000, 0.000), Pr at (0.170, 0.330, 0.140), Ir at (0.130, 0.370, 0.500) and Pt at (0.000, 0.000, 0.250).

Its formation energy is -0.65 eV/atom. The total energy comes out at -6.61 eV per atom.